DFT (GGA-PBE) results for a relaxed structure of Pm2ErUN4.

Its uncorrected formation energy is -1.542 eV per atom. The density of states at the Fermi level is 5.0 states/eV/cell. The calculated total energy comes out at -70.99 eV/f.u.

The space group is P2/m (No. 10) and the conventional cell measures 6.0064, 3.5161 and 6.1094 Å, with angles of 90.00, 108.95 and 90.00 degrees. The asymmetric unit holds Pm at (0.0000, 0.0000, 0.0000), Pm at (0.5000, 0.5000, 0.0000), Er at (0.0000, 0.5000, 0.5000), U at (0.5000, 0.0000, 0.5000), N at (0.2600, 0.0000, 0.7183) and N at (0.2711, 0.5000, 0.2833).